MnInAs2P: single point on PBEsol structure, meta-GGA SCAN.

Results
Formation energy: 6.31 eV/f.u.
Total magnetization: 0.92 μB/atom
SG: No. 123

Cell lengths 5.0522, 5.0522, 5.0024 Å; angles 90.00, 90.00, 90.00 degrees
Closest atoms and distances in Å follow each position.
Element x y z (fractional)
Mn  0.0000  0.0000  0.0000  2 In 2.50
In  0.0000  0.0000  0.5000  2 Mn 2.50, 4 As 2.53
As  0.0000  0.5000  0.5000  2 In 2.53
As  0.5000  0.0000  0.5000  2 In 2.53
P  0.5000  0.5000  0.0000  8 As 3.55, 4 Mn 3.57